1.
Here is a relaxed BaSn2Rh crystal from the Alexandria database. Energies are from PBE-GGA.

Summary:
Magnetic moment (μB per formula unit): 0.00
Volume (Å³/atom): 25.28
DFT total energy (eV per formula unit): -17.66
Energy relative to the elements (eV/atom): -0.095

a = 5.2291 Å, b = 5.2291 Å, c = 5.2291 Å
α = 60.00°, β = 60.00°, γ = 60.00°
Closest atoms and distances in Å follow each position.
Fractional coordinates of all 4 atoms:
1 Ba 0.0000 0.0000 0.0000  8 Sn 3.20
2 Sn 0.2500 0.2500 0.2500  4 Rh 3.20, 4 Ba 3.20
3 Sn 0.7500 0.7500 0.7500  4 Ba 3.20, 4 Rh 3.20
4 Rh 0.5000 0.5000 0.5000  8 Sn 3.20


2.
Here is a relaxed In crystal from the Alexandria database. Energies are from PBE-GGA.

Summary:
Magnetic moment (μB per formula unit): 0.00
Volume (Å³/atom): 27.10
DFT total energy (eV per formula unit): -2.72
Energy relative to the elements (eV/atom): 0.021

a = 3.3848 Å, b = 3.3848 Å, c = 5.7861 Å
α = 97.81°, β = 97.81°, γ = 121.65°
Closest atoms and distances in Å follow each position.
Fractional coordinates of all 2 atoms:
1 In 0.1255 0.8745 0.7500  10 In 3.25-3.38
2 In 0.8745 0.1255 0.2500  10 In 3.25-3.38


3.
Here is a relaxed CaBeSi2Os2 crystal from the Alexandria database. Energies are from PBE-GGA.

Summary:
Magnetic moment (μB per formula unit): 0.00
Volume (Å³/atom): 15.83
DFT total energy (eV per formula unit): -40.98
Uncorrected formation energy (eV/atom): -0.32

a = 4.2635 Å, b = 4.2635 Å, c = 5.2245 Å
α = 90.00°, β = 90.00°, γ = 90.00°
Closest atoms and distances in Å follow each position.
Fractional coordinates of all 6 atoms:
1 Ca 0.0000 0.0000 0.0000  2 Be 2.61
2 Be 0.0000 0.0000 0.5000  4 Os 2.13
3 Si 0.5000 0.5000 0.2376  2 Si 2.48-2.74, 4 Os 2.53
4 Si 0.5000 0.5000 0.7624  2 Si 2.48-2.74, 4 Os 2.53
5 Os 0.0000 0.5000 0.5000  2 Be 2.13
6 Os 0.5000 0.0000 0.5000  2 Be 2.13


4.
Here is a relaxed Ca3Dy2PaP6 crystal from the Alexandria database. Energies are from PBE-GGA.

Summary:
Magnetic moment (μB per formula unit): 0.00
Volume (Å³/atom): 23.89
DFT total energy (eV per formula unit): -72.74
Energy relative to the elements (eV/atom): -1.298

a = 7.0578 Å, b = 7.0578 Å, c = 7.0547 Å
α = 99.61°, β = 99.61°, γ = 120.05°
Closest atoms and distances in Å follow each position.
Fractional coordinates of all 12 atoms:
1 Ca 0.0000 0.0000 0.0000  6 P 2.93-3.00
2 Ca 0.3308 0.6692 0.0000  6 P 2.93-2.97
3 Ca 0.6692 0.3308 0.0000  6 P 2.93-2.97
4 Dy 0.1666 0.8334 0.5000  6 P 2.84
5 Dy 0.8334 0.1666 0.5000  6 P 2.84
6 Pa 0.5000 0.5000 0.5000  6 P 2.77
7 P 0.0972 0.4227 0.2677  1 Pa 2.77, 2 Dy 2.84, 3 Ca 2.93-2.97
8 P 0.2522 0.2522 0.7323  1 Pa 2.77, 2 Dy 2.84, 3 Ca 2.95-3.00
9 P 0.4227 0.0972 0.2677  1 Pa 2.77, 2 Dy 2.84, 3 Ca 2.93-2.97
10 P 0.5773 0.9028 0.7323  1 Pa 2.77, 2 Dy 2.84, 3 Ca 2.93-2.97
11 P 0.7478 0.7478 0.2677  1 Pa 2.77, 2 Dy 2.84, 3 Ca 2.95-3.00
12 P 0.9028 0.5773 0.7323  1 Pa 2.77, 2 Dy 2.84, 3 Ca 2.93-2.97


5.
Here is a relaxed ErZrHg crystal from the Alexandria database. Energies are from PBE-GGA.

Summary:
Magnetic moment (μB per formula unit): 0.00
Volume (Å³/atom): 24.51
DFT total energy (eV per formula unit): -14.07
Energy relative to the elements (eV/atom): -0.218

a = 6.7641 Å, b = 6.7641 Å, c = 6.7641 Å
α = 150.79°, β = 150.79°, γ = 41.78°
Closest atoms and distances in Å follow each position.
Fractional coordinates of all 3 atoms:
1 Er 0.0000 0.0000 0.0000  4 Hg 3.23, 4 Zr 3.27, 4 Er 3.41
2 Zr 0.3248 0.3248 0.0000  4 Hg 3.10, 4 Er 3.27, 4 Zr 3.41
3 Hg 0.6703 0.6703 0.0000  4 Zr 3.10, 4 Er 3.23, 4 Hg 3.41


6.
Here is a relaxed ScCl4 crystal from the Alexandria database. Energies are from PBE-GGA.

Summary:
Magnetic moment (μB per formula unit): 1.00
Volume (Å³/atom): 25.22
DFT total energy (eV per formula unit): -20.22
Uncorrected formation energy (eV/atom): -1.30

a = 5.0149 Å, b = 5.0149 Å, c = 5.0149 Å
α = 90.00°, β = 90.00°, γ = 90.00°
Closest atoms and distances in Å follow each position.
Fractional coordinates of all 5 atoms:
1 Sc 0.0000 0.0000 0.0000  6 Cl 2.51
2 Cl 0.0000 0.0000 0.5000  2 Sc 2.51
3 Cl 0.0000 0.5000 0.0000  2 Sc 2.51
4 Cl 0.5000 0.0000 0.0000  2 Sc 2.51
5 Cl 0.5000 0.5000 0.5000  12 Cl 3.55